The following is a DFT calculation (SCAN) of a crystal of K2RuRh relaxed with PBEsol.

Structure (POSCAR):
```
K2RuRh
1.0
-0.126 2.288 -1.644
-3.372 -2.587 -0.923
-5.017 4.681 6.902
K Rh Ru
2 1 1
Direct
0.008 0.016 0.096
0.241 0.482 0.653
0.493 0.986 0.414
0.758 0.516 0.337
```

**Offset from the most stable computed form**: 0.000 eV per atom
**Formation energy**: 0.567 eV/atom

The following is a DFT calculation (SCAN) of a crystal of AgPPbCl2 relaxed with PBEsol.

Structure (POSCAR):
```
AgPPbCl2
1.0
-1.787 -4.291 1.791
3.544 -2.419 -2.260
2.816 0.463 3.920
Pb P Ag Cl
1 1 1 2
Direct
0.500 0.500 0.500
0.500 0.000 0.000
0.000 0.000 0.000
0.000 0.000 0.500
0.000 0.500 0.000
```

**Total DFT energy (no corrections)**: -26.673 eV/atom

The following is a DFT calculation (SCAN) of a crystal of AgAuN2F relaxed with PBEsol.

Structure (POSCAR):
```
AgAuN2F
1.0
3.756 0.000 0.000
0.000 3.756 0.000
0.000 0.000 5.268
N Au Ag F
2 1 1 1
Direct
0.000 0.500 0.000
0.500 0.000 0.000
0.000 0.000 0.000
0.500 0.500 0.500
0.000 0.000 0.500
```

**Total DFT energy (no corrections)**: -23.418 eV/atom

The following is a DFT calculation (SCAN) of a crystal of KCr2Co relaxed with PBEsol.

Structure (POSCAR):
```
KCr2Co
1.0
-0.795 -2.580 -0.252
1.630 -0.805 3.099
-6.244 1.563 3.692
Co Cr K
1 2 1
Direct
0.500 0.500 0.500
0.000 0.000 0.629
0.000 0.000 0.371
0.500 0.500 0.000
```

**Offset from the most stable computed form**: 0.239 eV per atom
**Formation energy**: 0.941 eV/atom